## A
Here is crystalline CoNiSbI2 at its relaxed geometry from the Alexandria database. Energies are from PBE.

POSCAR file:
```
CoNiSbI2
1.0
5.351 0.000 0.000
0.000 5.351 0.000
0.000 0.000 4.847
Co Ni Sb I
1 1 1 2
Cartesian
0.000 0.000 0.000
2.675 2.675 2.424
2.675 2.675 0.000
0.000 2.675 2.424
2.675 0.000 2.424
```

Properties
Crystal system: tetragonal
Magnetic moment in μB per atom: 0.43
Symmetry: P4/mmm
DOS at the Fermi energy in states/eV/cell: 7.753


## B
Here is crystalline CoNiSbI2 at its relaxed geometry from the Alexandria database. Energies are from PBE.

POSCAR file:
```
CoNiSbI2
1.0
5.336 0.000 0.000
0.000 5.336 0.000
0.000 0.000 4.739
Co Ni Sb I
1 1 1 2
Cartesian
0.000 0.000 0.000
2.668 2.668 2.369
0.000 0.000 2.369
0.000 2.668 0.000
2.668 0.000 0.000
```

Properties
Crystal system: tetragonal
Magnetic moment in μB per atom: 0.21
Symmetry: P4/mmm
DOS at the Fermi energy in states/eV/cell: 9.905


Tell me which of them is the least stable. Sure, it is A.